The following is a DFT calculation (PBE+U) of LiCrPO4 after structural relaxation.

Values from the calculation:
Calculated total energy, Ry/atom: -0.520
Magnetic moment, μB/cell: 16.00
Volume, Å³ per atom: 13.18

abc: 8.204 5.154 8.864
angles: 90.00 100.17 90.00
Positions (direct):
Li (0.034, 0.000, 0.430)
Li (0.420, 0.770, 0.007)
Li (0.580, 0.270, 0.993)
Li (0.966, 0.500, 0.570)
Cr (0.108, 0.604, 0.123)
Cr (0.436, 0.004, 0.640)
Cr (0.564, 0.504, 0.360)
Cr (0.892, 0.104, 0.877)
P (0.213, 0.221, 0.899)
P (0.266, 0.540, 0.457)
P (0.734, 0.040, 0.543)
P (0.787, 0.721, 0.101)
O (0.072, 0.272, 0.762)
O (0.119, 0.358, 0.439)
O (0.132, 0.046, 0.010)
O (0.231, 0.793, 0.540)
O (0.275, 0.478, 0.983)
O (0.310, 0.612, 0.293)
O (0.372, 0.084, 0.861)
O (0.433, 0.417, 0.539)
O (0.567, 0.917, 0.461)
O (0.628, 0.584, 0.139)
O (0.690, 0.112, 0.707)
O (0.725, 0.978, 0.017)
O (0.769, 0.293, 0.460)
O (0.868, 0.546, 0.990)
O (0.881, 0.858, 0.561)
O (0.928, 0.772, 0.238)